{"formula": "RbIn2Tc", "functional": "GGA-PBE", "state": "relaxed", "cell": [[0.000, 3.758, 3.758], [3.758, 0.000, 3.758], [3.758, 3.758, 0.000]], "species": ["Rb", "In", "In", "Tc"], "frac_coords": [[0.000, 0.000, 0.000], [0.250, 0.250, 0.250], [0.750, 0.750, 0.750], [0.500, 0.500, 0.500]], "space_group": "No. 225", "relative_energy_mev_per_atom": 202}

{"formula": "RbInTc3", "functional": "GGA-PBE", "state": "relaxed", "cell": [[4.747, 0.000, 0.000], [0.000, 4.747, 0.000], [0.000, 0.000, 4.747]], "species": ["Rb", "In", "Tc", "Tc", "Tc"], "frac_coords": [[0.000, 0.000, 0.000], [0.500, 0.500, 0.500], [0.000, 0.000, 0.500], [0.000, 0.500, 0.000], [0.500, 0.000, 0.000]], "space_group": "No. 221", "relative_energy_mev_per_atom": 821}

{"formula": "RbIn3Te", "functional": "GGA-PBE", "state": "relaxed", "cell": [[6.322, 0.000, 0.000], [0.000, 6.322, 0.000], [0.000, 0.000, 6.322]], "species": ["Rb", "In", "In", "In", "Te"], "frac_coords": [[0.000, 0.000, 0.000], [0.000, 0.000, 0.500], [0.000, 0.500, 0.000], [0.500, 0.000, 0.000], [0.500, 0.500, 0.500]], "space_group": "No. 221", "formation_energy_uncorrected_mev_per_atom": 802, "relative_energy_mev_per_atom": 616}